A relaxed YBRu crystal, computed with PBE.

## Properties
space group: I4mm
E_form: -0.19 eV per atom

abc: 3.031 3.031 5.354
angles: 106.43 106.43 90.02
Atoms (fractional coordinates):
Ru 0.616 0.616 0.233
Y 0.339 0.339 0.679
B 0.044 0.044 0.089

A relaxed PmHo2Se5 crystal, computed with PBE.

## Properties
ΔE_f (raw): -1.617 eV/atom
space group: I4/mcm

abc: 7.626 7.626 8.518
angles: 116.59 116.59 90.00
Atoms (fractional coordinates):
Ho 0.656 0.156 0.000
Ho 0.844 0.656 0.000
Ho 0.156 0.344 0.000
Ho 0.344 0.844 0.000
Se 0.199 0.009 0.708
Se 0.801 0.991 0.292
Se 0.500 0.500 0.000
Se 0.491 0.301 0.292
Se 0.991 0.491 0.292
Se 0.509 0.699 0.708
Se 0.009 0.509 0.708
Se 0.000 0.000 0.000
Se 0.699 0.199 0.708
Se 0.301 0.801 0.292
Pm 0.250 0.250 0.500
Pm 0.750 0.750 0.500

A relaxed Th2BeNi crystal, computed with PBE.

## Properties
space group: R-3m
E_form: 0.70 eV per atom

abc: 3.529 3.529 10.101
angles: 79.94 79.94 60.00
Atoms (fractional coordinates):
Th 0.102 0.102 0.693
Th 0.898 0.898 0.307
Ni 0.500 0.500 0.500
Be 0.000 0.000 0.000

A relaxed NaAsP2Cl crystal, computed with PBE.

## Properties
ΔE_f (raw): 0.205 eV/atom
space group: P4/mmm

abc: 4.658 4.658 6.255
angles: 90.00 90.00 90.00
Atoms (fractional coordinates):
P 0.500 0.000 0.000
P 0.000 0.500 0.000
Cl 0.000 0.000 0.500
As 0.000 0.000 0.000
Na 0.500 0.500 0.500

Number 1: DFT total energy -7.662 eV per atom. Number 2: DFT total energy -5.533 eV per atom. Number 3: DFT total energy -5.384 eV per atom. Number 4: DFT total energy -3.522 eV per atom.